No. 1
An optimized crystal structure of Hg2HPbAu, computed with GGA-PBE.

## Properties
total DFT energy (no corrections) = -10.1 eV per formula unit

abc: 5.428 5.428 3.630
angles: 90.00 90.00 90.00
Positions (direct):
Au: 0.000 0.000 0.500
H: 0.000 0.000 0.000
Hg: 0.500 0.000 0.000
Hg: 0.000 0.500 0.000
Pb: 0.500 0.500 0.500

No. 2
An optimized crystal structure of Li4HPd2, computed with GGA-PBE.

## Properties
total DFT energy (no corrections) = -22.9 eV per formula unit

abc: 3.575 3.575 7.176
angles: 75.58 75.58 90.00
Positions (direct):
Li: 0.000 0.500 0.000
Li: 0.500 0.000 0.000
Li: 0.859 0.859 0.281
Li: 0.141 0.141 0.719
Pd: 0.322 0.322 0.356
Pd: 0.678 0.678 0.644
H: 0.000 0.000 0.000

No. 3
An optimized crystal structure of Na3Pr3TaO8, computed with GGA-PBE.

## Properties
total DFT energy (no corrections) = -108.8 eV per formula unit
raw formation energy = -2597 meV/atom

abc: 6.996 6.996 6.997
angles: 120.00 90.00 120.00
Positions (direct):
Pr: 0.500 0.000 0.500
Pr: 0.000 0.500 0.500
Pr: 0.500 0.500 0.500
Na: 0.000 0.000 0.000
Na: 0.000 0.500 0.000
Na: 0.500 0.500 0.000
O: 0.785 0.991 0.696
O: 0.746 0.493 0.739
O: 0.795 0.589 0.304
O: 0.215 0.009 0.304
O: 0.795 0.009 0.304
O: 0.205 0.991 0.696
O: 0.254 0.507 0.261
O: 0.205 0.411 0.696
Ta: 0.000 0.000 0.500

No. 4
An optimized crystal structure of Nd2HN, computed with GGA-PBE.

## Properties
total DFT energy (no corrections) = -24.6 eV per formula unit

abc: 3.602 3.602 6.534
angles: 74.00 74.00 60.00
Positions (direct):
Nd: 0.261 0.261 0.218
Nd: 0.077 0.077 0.769
N: 0.666 0.666 0.001
H: 0.496 0.496 0.513

No. 5
An optimized crystal structure of La4NiCl5, computed with GGA-PBE.

## Properties
total DFT energy (no corrections) = -51.5 eV per formula unit
raw formation energy = -1678 meV/atom

abc: 3.928 8.416 9.761
angles: 115.54 101.61 90.00
Last column: magnetic moment on the atom in μB.
Positions (direct):
La: 0.000 0.224 0.000  0.01
La: 0.000 0.776 0.000  0.01
La: 0.680 0.180 0.359  0.19
La: 0.320 0.820 0.641  0.19
Cl: 0.170 0.899 0.339  0.00
Cl: 0.170 0.440 0.339  0.00
Cl: 0.830 0.560 0.661  0.00
Cl: 0.500 0.500 0.000  0.00
Cl: 0.830 0.101 0.661  0.00
Ni: 0.500 0.000 0.000  0.05

No. 6
An optimized crystal structure of Ni2H2W, computed with GGA-PBE.

## Properties
total DFT energy (no corrections) = -27.3 eV per formula unit

abc: 6.371 6.371 2.467
angles: 90.00 90.00 90.00
Positions (direct):
Ni: 0.129 0.371 0.000
Ni: 0.629 0.129 0.000
Ni: 0.371 0.871 0.000
Ni: 0.871 0.629 0.000
H: 0.409 0.091 0.500
H: 0.091 0.591 0.500
H: 0.909 0.409 0.500
H: 0.591 0.909 0.500
W: 0.000 0.000 0.000
W: 0.500 0.500 0.000

No. 7
An optimized crystal structure of ErTm3Mg6, computed with GGA-PBE.

## Properties
total DFT energy (no corrections) = -28.0 eV per formula unit
ΔE_f = -0.049 eV per atom

abc: 5.230 9.186 11.143
angles: 105.48 90.00 90.00
Positions (direct):
Tm: 0.250 0.547 0.398
Tm: 0.750 0.648 0.203
Tm: 0.750 0.253 0.996
Tm: 0.250 0.747 0.004
Tm: 0.750 0.453 0.602
Tm: 0.250 0.352 0.797
Mg: 0.750 0.557 0.899
Mg: 0.750 0.145 0.700
Mg: 0.750 0.854 0.805
Mg: 0.250 0.047 0.900
Mg: 0.250 0.245 0.492
Mg: 0.250 0.659 0.705
Mg: 0.250 0.146 0.195
Mg: 0.250 0.443 0.101
Mg: 0.250 0.855 0.300
Mg: 0.750 0.953 0.100
Mg: 0.750 0.341 0.295
Mg: 0.750 0.755 0.508
Er: 0.750 0.050 0.401
Er: 0.250 0.950 0.599